First-principles (GGA-PBE) data for an optimized crystal structure of La4NO3, as listed in Alexandria.

Computed properties:
Volume ... 140 Å³ per cell
Total magnetic moment ... 0.0 μB per formula unit
Mass density ... 7.3 g/cm³
Raw formation energy ... -2.510 eV/atom

CIF file:
```
data_La4NO3
_cell_length_a 5.193
_cell_length_b 5.193
_cell_length_c 5.193
_cell_angle_alpha 90.00
_cell_angle_beta 90.00
_cell_angle_gamma 90.00
_space_group_name_H-M_alt 'P m -3 m'
_space_group_IT_number 221
_space_group_name_Hall '-P 4 2 3'
loop_
_atom_site_label
_atom_site_type_symbol
_atom_site_fract_x
_atom_site_fract_y
_atom_site_fract_z
La1 La 0.000 0.000 0.000
La2 La 0.000 0.500 0.500
N1 N 0.500 0.500 0.500
O1 O 0.000 0.000 0.500
```

First-principles (GGA-PBE) data for an optimized crystal structure of Ac3PmN4, as listed in Alexandria.

Computed properties:
Volume ... 321 Å³ per cell
Total magnetic moment ... 0.0 μB per formula unit
Mass density ... 9.1 g/cm³
Raw formation energy ... -1.116 eV/atom

CIF file:
```
data_Ac3PmN4
_cell_length_a 7.687
_cell_length_b 10.874
_cell_length_c 3.838
_cell_angle_alpha 90.00
_cell_angle_beta 90.00
_cell_angle_gamma 90.00
_space_group_name_H-M_alt 'C m m m'
_space_group_IT_number 65
_space_group_name_Hall '-C 2 2'
loop_
_atom_site_label
_atom_site_type_symbol
_atom_site_fract_x
_atom_site_fract_y
_atom_site_fract_z
Ac1 Ac 0.000 0.000 0.000
Ac2 Ac 0.250 0.250 0.500
Pm1 Pm 0.000 0.500 0.000
N1 N 0.000 0.257 0.000
N2 N 0.241 0.500 0.500
```